## LaSi2Ir (GGA-PBEsol)

Data for a relaxed structure of LaSi2Ir.

abc: 6.568 6.568 6.568
angles: 90.00 90.00 90.00
Space group Fm-3m (No. 225)
Unique sites:
La1 0.000 0.000 0.000 [4 per cell]
Si1 0.250 0.250 0.250 [8 per cell]
Ir1 0.000 0.000 0.500 [4 per cell]

## Properties
As for the magnetic moment: 0.00 μB per cell. Its density of states at the Fermi level is 0.692 states/eV per atom. For the formation energy without anion corrections, the calculation gives -0.23 eV/atom. The calculation puts the total energy at -0.253 hartree per atom.